Entry 1:
First-principles (PBE-GGA) data for InRu3 after structural relaxation, as listed in Alexandria via LeMat-Bulk.

Calculated values
The total energy comes out at -58.66 eV per cell. The space-group type is No. 194. For the formation energy from the elements, the calculation gives 1.24 eV per formula unit.

a = 5.614 Å, b = 5.614 Å, c = 4.539 Å
α = 90.00°, β = 90.00°, γ = 120.00°
Last column: magnetic moment on the atom in μB.
Element x y z (fractional)
In1 0.333 0.667 0.250  -0.01
In2 0.667 0.333 0.750  -0.01
Ru1 0.835 0.670 0.250  0.45
Ru2 0.330 0.165 0.250  0.45
Ru3 0.835 0.165 0.250  0.45
Ru4 0.165 0.330 0.750  0.45
Ru5 0.670 0.835 0.750  0.45
Ru6 0.165 0.835 0.750  0.45

***

Entry 2:
First-principles (PBE-GGA) data for Sc2CdPd4 after structural relaxation, as listed in Alexandria via LeMat-Bulk.

Calculated values
The total energy comes out at -77.95 eV per cell. The space-group type is No. 1. For the formation energy from the elements, the calculation gives -4.63 eV per formula unit.

a = 7.353 Å, b = 5.779 Å, c = 6.956 Å
α = 103.77°, β = 111.15°, γ = 105.23°
Element x y z (fractional)
Sc1 0.498 0.326 0.684
Sc2 0.678 0.780 0.222
Sc3 0.673 0.277 0.227
Sc4 0.175 0.557 0.869
Cd1 0.139 0.700 0.470
Cd2 0.975 0.125 0.037
Pd1 0.078 0.175 0.467
Pd2 0.385 0.487 0.299
Pd3 0.821 0.676 0.625
Pd4 0.775 0.147 0.618
Pd5 0.347 0.964 0.264
Pd6 0.271 0.102 0.879
Pd7 0.545 0.835 0.809
Pd8 0.890 0.599 0.030

***

Entry 3:
First-principles (PBE-GGA) data for CaTlGe4 after structural relaxation, as listed in Alexandria via LeMat-Bulk.

Calculated values
The total energy comes out at -23.52 eV per cell. The space-group type is No. 216. For the formation energy from the elements, the calculation gives -0.68 eV per formula unit.

a = 5.733 Å, b = 5.733 Å, c = 5.733 Å
α = 60.00°, β = 60.00°, γ = 60.00°
Element x y z (fractional)
Tl1 0.250 0.250 0.250
Ca1 0.000 0.000 0.000
Ge1 0.626 0.626 0.123
Ge2 0.626 0.123 0.626
Ge3 0.626 0.626 0.626
Ge4 0.123 0.626 0.626

***

> What is the formula in the third record?

CaTlGe4

***

> The highest formation energy from the elements belongs to which entry?

InRu3